Ta2MoC: PBEsol geometry, SCAN.

Cell: 4.617 4.617 4.617 Å, 129.72 129.72 73.85°
Element x y z (fractional)
Ta1 0.250 0.750 0.500
Ta2 0.750 0.250 0.500
Mo1 0.000 0.000 0.000
C1 0.500 0.500 0.000

Values from the calculation:
Size of the total moment ... 0.00 μB/f.u.
E_form ... 91.0 kJ per mole of atoms
Space group ... I4/mmm